No. 1
VASP calculation (GGA-PBE) on an optimized crystal structure of Li2NbSi. Values from VASP.

Summary:
formation energy (no corrections) = 8.91 kcal/mol of atoms
total DFT energy (no corrections) = -35.6 eV per cell
mass density = 3.51 g cm⁻³

Geometry as Quantum ESPRESSO input:
```
&SYSTEM
  ibrav = 0, nat = 8, ntyp = 3
/
ATOMIC_SPECIES
Li 6.94 Li.upf
Nb 92.91 Nb.upf
Si 28.09 Si.upf
CELL_PARAMETERS angstrom
-3.5341 3.5341 2.5543
3.5341 -3.5341 2.5543
3.5341 3.5341 -2.5543
ATOMIC_POSITIONS crystal
Li 0.0927 0.6250 0.9677
Li 0.3750 0.3427 0.4677
Li 0.6573 0.1250 0.0323
Li 0.8750 0.9073 0.5323
Nb 0.2500 0.7500 0.5000
Nb 0.5000 0.5000 0.0000
Si 0.0000 0.0000 0.0000
Si 0.7500 0.2500 0.5000
```



No. 2
VASP calculation (GGA-PBE) on an optimized crystal structure of Ce3PuSn4. Values from VASP.

Summary:
total DFT energy (no corrections) = -52.6 eV per cell
mass density = 8.68 g cm⁻³

Geometry as Quantum ESPRESSO input:
```
&SYSTEM
  ibrav = 0, nat = 8, ntyp = 3
/
ATOMIC_SPECIES
Ce 140.12 Ce.upf
Pu 244.00 Pu.upf
Sn 118.71 Sn.upf
CELL_PARAMETERS angstrom
4.1550 0.0000 0.0000
0.0000 4.1550 0.0000
0.0000 0.0000 12.6223
ATOMIC_POSITIONS crystal
Ce 0.0000 0.0000 0.0000
Ce 0.0000 0.0000 0.2594
Ce 0.0000 0.0000 0.7406
Pu 0.0000 0.0000 0.5000
Sn 0.5000 0.5000 0.1275
Sn 0.5000 0.5000 0.3785
Sn 0.5000 0.5000 0.6215
Sn 0.5000 0.5000 0.8725
```



No. 3
VASP calculation (GGA-PBE) on an optimized crystal structure of NaTaCoS3. Values from VASP.

Summary:
formation energy (no corrections) = -21.69 kcal/mol of atoms
total DFT energy (no corrections) = -76.6 eV per cell
mass density = 5.36 g cm⁻³

Geometry as Quantum ESPRESSO input:
```
&SYSTEM
  ibrav = 0, nat = 12, ntyp = 4
/
ATOMIC_SPECIES
Na 22.99 Na.upf
Ta 180.95 Ta.upf
Co 58.93 Co.upf
S 32.06 S.upf
CELL_PARAMETERS angstrom
7.6136 0.0000 0.0000
0.0000 3.4677 0.0000
-3.1184 0.0000 8.4284
ATOMIC_POSITIONS crystal
Na 0.2478 0.2500 0.2750
Na 0.7522 0.7500 0.7250
Ta 0.2987 0.7500 0.8245
Ta 0.7013 0.2500 0.1755
Co 0.0858 0.2500 0.6044
Co 0.9142 0.7500 0.3956
S 0.0840 0.2500 0.8534
S 0.2356 0.7500 0.5423
S 0.4430 0.7500 0.1342
S 0.5570 0.2500 0.8658
S 0.7644 0.2500 0.4577
S 0.9160 0.7500 0.1466
```



No. 4
VASP calculation (GGA-PBE) on an optimized crystal structure of W3Cl. Values from VASP.

Summary:
formation energy (no corrections) = 26.16 kcal/mol of atoms
total DFT energy (no corrections) = -36.2 eV per cell
mass density = 14.76 g cm⁻³

Geometry as Quantum ESPRESSO input:
```
&SYSTEM
  ibrav = 0, nat = 4, ntyp = 2
/
ATOMIC_SPECIES
W 183.84 W.upf
Cl 35.45 Cl.upf
CELL_PARAMETERS angstrom
2.6844 -4.4441 0.0000
2.6844 4.4441 0.0000
0.0000 0.0000 2.7678
ATOMIC_POSITIONS crystal
W 0.0000 0.0000 0.0000
W 0.0000 0.5000 0.5000
W 0.5000 0.0000 0.5000
Cl 0.5000 0.5000 0.0000
```



No. 5
VASP calculation (GGA-PBE) on an optimized crystal structure of Ba2MnAu. Values from VASP.

Summary:
total DFT energy (no corrections) = -16.6 eV per cell
mass density = 6.09 g cm⁻³

Geometry as Quantum ESPRESSO input:
```
&SYSTEM
  ibrav = 0, nat = 4, ntyp = 3
/
ATOMIC_SPECIES
Ba 137.33 Ba.upf
Mn 54.94 Mn.upf
Au 196.97 Au.upf
CELL_PARAMETERS angstrom
4.9475 0.0000 0.0000
0.0000 4.6289 0.0000
-2.4672 0.0000 6.2711
ATOMIC_POSITIONS crystal
Ba 0.0000 0.0000 0.0000
Ba 0.2867 0.5000 0.5740
Mn 0.6903 0.0000 0.3812
Au 0.5812 0.5000 0.1624
```



No. 6
VASP calculation (GGA-PBE) on an optimized crystal structure of CeDyHg2. Values from VASP.

Summary:
total DFT energy (no corrections) = -12.1 eV per cell
mass density = 10.31 g cm⁻³

Geometry as Quantum ESPRESSO input:
```
&SYSTEM
  ibrav = 0, nat = 4, ntyp = 3
/
ATOMIC_SPECIES
Ce 140.12 Ce.upf
Dy 162.50 Dy.upf
Hg 200.59 Hg.upf
CELL_PARAMETERS angstrom
1.8312 1.0573 9.7622
-1.8312 1.0573 9.7622
0.0000 -2.1145 9.7622
ATOMIC_POSITIONS crystal
Ce 0.0000 0.0000 0.0000
Dy 0.5000 0.5000 0.5000
Hg 0.2463 0.2463 0.2463
Hg 0.7537 0.7537 0.7537
```



No. 7
VASP calculation (GGA-PBE) on an optimized crystal structure of CsScSI2. Values from VASP.

Summary:
formation energy (no corrections) = -32.18 kcal/mol of atoms
total DFT energy (no corrections) = -21.4 eV per cell
mass density = 4.24 g cm⁻³

Geometry as Quantum ESPRESSO input:
```
&SYSTEM
  ibrav = 0, nat = 5, ntyp = 4
/
ATOMIC_SPECIES
Cs 132.91 Cs.upf
Sc 44.96 Sc.upf
S 32.06 S.upf
I 126.90 I.upf
CELL_PARAMETERS angstrom
6.1033 0.0000 0.0000
0.0000 6.1033 0.0000
0.0000 0.0000 4.8805
ATOMIC_POSITIONS crystal
Cs 0.0000 0.0000 0.0000
Sc 0.5000 0.5000 0.5000
S 0.5000 0.5000 0.0000
I 0.0000 0.5000 0.5000
I 0.5000 0.0000 0.5000
```



No. 8
VASP calculation (GGA-PBE) on an optimized crystal structure of Ba2SCl. Values from VASP.

Summary:
formation energy (no corrections) = -40.05 kcal/mol of atoms
total DFT energy (no corrections) = -33.5 eV per cell
mass density = 3.08 g cm⁻³

Geometry as Quantum ESPRESSO input:
```
&SYSTEM
  ibrav = 0, nat = 8, ntyp = 3
/
ATOMIC_SPECIES
Ba 137.33 Ba.upf
S 32.06 S.upf
Cl 35.45 Cl.upf
CELL_PARAMETERS angstrom
-3.5978 3.5978 7.1161
3.5978 -3.5978 7.1161
3.5978 3.5978 -7.1161
ATOMIC_POSITIONS crystal
Ba 0.1053 0.6250 0.9803
Ba 0.3750 0.3553 0.4803
Ba 0.6447 0.1250 0.0197
Ba 0.8750 0.8947 0.5197
S 0.0000 0.0000 0.0000
S 0.7500 0.2500 0.5000
Cl 0.2500 0.7500 0.5000
Cl 0.5000 0.5000 0.0000
```



No. 9
VASP calculation (GGA-PBE) on an optimized crystal structure of RbGaSn2Ge. Values from VASP.

Summary:
total DFT energy (no corrections) = -17.2 eV per cell
mass density = 5.29 g cm⁻³

Geometry as Quantum ESPRESSO input:
```
&SYSTEM
  ibrav = 0, nat = 5, ntyp = 4
/
ATOMIC_SPECIES
Rb 85.47 Rb.upf
Ga 69.72 Ga.upf
Sn 118.71 Sn.upf
Ge 72.64 Ge.upf
CELL_PARAMETERS angstrom
-2.5673 2.5673 5.5427
2.5673 -2.5673 5.5427
2.5673 2.5673 -5.5427
ATOMIC_POSITIONS crystal
Rb 0.0000 0.0000 0.0000
Ga 0.7500 0.2500 0.5000
Sn 0.3651 0.3651 0.0000
Sn 0.6349 0.6349 0.0000
Ge 0.2500 0.7500 0.5000
```



No. 10
VASP calculation (GGA-PBE) on an optimized crystal structure of NaPCl4. Values from VASP.

Summary:
formation energy (no corrections) = -18.50 kcal/mol of atoms
total DFT energy (no corrections) = -18.9 eV per cell
mass density = 1.49 g cm⁻³

Geometry as Quantum ESPRESSO input:
```
&SYSTEM
  ibrav = 0, nat = 6, ntyp = 3
/
ATOMIC_SPECIES
Na 22.99 Na.upf
P 30.97 P.upf
Cl 35.45 Cl.upf
CELL_PARAMETERS angstrom
-3.6179 3.6179 4.1593
3.6179 -3.6179 4.1593
3.6179 3.6179 -4.1593
ATOMIC_POSITIONS crystal
Na 0.0000 0.0000 0.0000
P 0.7500 0.2500 0.5000
Cl 0.0851 0.2008 0.4990
Cl 0.4139 0.9149 0.1157
Cl 0.7018 0.5861 0.5010
Cl 0.7992 0.2982 0.8843
```



No. 11
VASP calculation (GGA-PBE) on an optimized crystal structure of PaBr3Cl2. Values from VASP.

Summary:
formation energy (no corrections) = -35.82 kcal/mol of atoms
total DFT energy (no corrections) = -27.5 eV per cell
mass density = 2.99 g cm⁻³

Geometry as Quantum ESPRESSO input:
```
&SYSTEM
  ibrav = 0, nat = 6, ntyp = 3
/
ATOMIC_SPECIES
Pa 231.04 Pa.upf
Br 79.90 Br.upf
Cl 35.45 Cl.upf
CELL_PARAMETERS angstrom
-2.8679 3.9140 6.6952
2.8679 -3.9140 6.6952
2.8679 3.9140 -6.6952
ATOMIC_POSITIONS crystal
Pa 0.0000 0.0000 0.0000
Br 0.9999 0.4999 0.5000
Br 0.3815 0.1411 0.2405
Br 0.9006 0.1411 0.7595
Cl 0.0944 0.8684 0.2260
Cl 0.6424 0.8684 0.7740
```



No. 12
VASP calculation (GGA-PBE) on an optimized crystal structure of CeSbPd4. Values from VASP.

Summary:
formation energy (no corrections) = -13.27 kcal/mol of atoms
total DFT energy (no corrections) = -34.3 eV per cell
mass density = 10.11 g cm⁻³

Geometry as Quantum ESPRESSO input:
```
&SYSTEM
  ibrav = 0, nat = 6, ntyp = 3
/
ATOMIC_SPECIES
Ce 140.12 Ce.upf
Sb 121.76 Sb.upf
Pd 106.42 Pd.upf
CELL_PARAMETERS angstrom
0.0000 3.8368 3.8368
3.8368 0.0000 3.8368
3.8368 3.8368 0.0000
ATOMIC_POSITIONS crystal
Ce 0.0000 0.0000 0.0000
Sb 0.7500 0.7500 0.7500
Pd 0.3748 0.3748 0.3748
Pd 0.3748 0.3748 0.8756
Pd 0.3748 0.8756 0.3748
Pd 0.8756 0.3748 0.3748
```